# 1
The following is a DFT calculation (SCAN) of a crystal of RbCaY2Tc relaxed with PBEsol.

```
5
Lattice="5.299 0.000 0.000 0.000 5.299 0.000 0.000 0.000 6.213" Properties=species:S:1:pos:R:3 pbc="T T T"
Rb 0.000 0.000 0.000
Ca 2.649 2.649 0.000
Y 0.000 2.649 3.106
Y 2.649 0.000 3.106
Tc 0.000 0.000 3.106
```

* density of states at the Fermi level: 0.778 states/eV/atom
* final energy: -23.6472 eV per atom
* energy relative to the elements: 0.582 eV per atom
* space group: P4/mmm (123)

***

# 2
The following is a DFT calculation (SCAN) of a crystal of RbCa3Te relaxed with PBEsol.

```
5
Lattice="6.169 0.000 0.000 0.000 6.169 0.000 0.000 0.000 6.169" Properties=species:S:1:pos:R:3 pbc="T T T"
Rb 0.000 0.000 0.000
Ca 0.000 3.085 3.085
Ca 3.085 0.000 3.085
Ca 3.085 3.085 0.000
Te 3.085 3.085 3.085
```

* density of states at the Fermi level: 0.848 states/eV/atom
* final energy: -17.7350 eV per atom
* uncorrected formation energy: -0.339 eV per atom
* space group: Pm-3m (221)